# 1
Below is a geometry-optimized La3Te2H2 structure, with properties calculated at the PBE level.

a b c (Å): 4.302 4.715 9.340
angles (deg): 104.67 103.37 89.96
Atoms (fractional coordinates):
H  0.500  0.743  0.000
La  0.000  0.000  0.000
Te  0.821  0.820  0.643
Te  0.179  0.180  0.357
H  0.500  0.257  0.000
La  0.630  0.630  0.258
La  0.370  0.370  0.742

Results
total energy = -5.04 eV/atom
SG = P-1, No. 2

***

# 2
Below is a geometry-optimized HoIn2PbSe4 structure, with properties calculated at the PBE level.

a b c (Å): 4.170 7.554 7.577
angles (deg): 71.67 90.00 90.00
Atoms (fractional coordinates):
Se  0.000  0.745  0.727
Se  0.500  0.726  0.281
Se  0.000  0.255  0.273
Ho  0.000  0.500  0.500
In  0.500  0.000  0.500
Se  0.500  0.274  0.719
In  0.000  0.000  0.000
Pb  0.500  0.500  0.000

Results
total energy = -4.32 eV/atom
SG = P2/m, No. 10
energy relative to the elements, uncorrected = -0.858 eV/atom

***

# 3
Below is a geometry-optimized KHg3Pd structure, with properties calculated at the PBE level.

a b c (Å): 5.885 7.345 7.345
angles (deg): 122.65 90.12 89.88
Atoms (fractional coordinates):
K  0.963  0.770  0.928
K  0.462  0.998  0.700
Hg  0.462  0.571  0.127
Hg  0.962  0.280  0.943
Hg  0.464  0.488  0.685
Pd  0.713  0.384  0.314
Hg  0.964  0.197  0.500
Hg  0.464  0.013  0.210
Pd  0.213  0.384  0.314
Hg  0.962  0.755  0.417

Results
total energy = -1.67 eV/atom
SG = C2/m, No. 12
energy relative to the lowest polymorph listed for this composition = 9 meV per atom
energy relative to the elements = -112 kJ/mol of formula units

***

# 4
Below is a geometry-optimized Th4InB3Ir12 structure, with properties calculated at the PBE level.

a b c (Å): 7.699 7.699 7.699
angles (deg): 109.47 109.47 109.47
Atoms (fractional coordinates):
Ir  0.500  0.750  0.250
Ir  0.500  0.250  0.750
Ir  0.719  0.000  0.719
Th  0.000  0.500  0.000
Ir  0.000  0.281  0.281
Ir  0.250  0.500  0.750
Th  0.500  0.000  0.000
Ir  0.281  0.281  0.000
Ir  0.750  0.500  0.250
Th  0.500  0.500  0.500
Ir  0.250  0.750  0.500
Ir  0.750  0.250  0.500
Ir  0.281  0.000  0.281
B  0.500  0.500  0.000
B  0.500  0.000  0.500
In  0.000  0.000  0.000
Th  0.000  0.000  0.500
B  0.000  0.500  0.500
Ir  0.719  0.719  0.000
Ir  0.000  0.719  0.719

Results
total energy = -8.37 eV/atom
SG = Im-3m, No. 229
energy relative to the elements = -824 kJ/mol of formula units

***

# 5
Below is a geometry-optimized CsZr3Pd structure, with properties calculated at the PBE level.

a b c (Å): 5.287 5.287 5.287
angles (deg): 90.00 90.00 90.00
Atoms (fractional coordinates):
Cs  0.500  0.500  0.500
Zr  0.500  0.000  0.000
Zr  0.000  0.000  0.500
Pd  0.000  0.000  0.000
Zr  0.000  0.500  0.000

Results
total energy = -5.60 eV/atom
SG = Pm-3m, No. 221
energy relative to the lowest polymorph listed for this composition = 0 meV per atom
energy relative to the elements = 355 kJ/mol of formula units

***

# 6
Below is a geometry-optimized K3MgU2Te6 structure, with properties calculated at the PBE level.

a b c (Å): 7.761 7.761 8.638
angles (deg): 98.62 98.62 120.00
Site moments in Bohr magnetons follow the coordinates.
Atoms (fractional coordinates):
Mg  0.000  0.000  0.000  0.00
Te  0.740  0.740  0.207  -0.05
Te  0.069  0.397  0.206  -0.05
K  0.832  0.168  0.500  0.00
K  0.168  0.832  0.500  0.00
K  0.500  0.500  0.500  0.00
Te  0.260  0.260  0.793  -0.05
Te  0.603  0.931  0.794  -0.05
U  0.667  0.333  0.000  2.55
Te  0.931  0.603  0.794  -0.05
U  0.333  0.667  0.000  2.55
Te  0.397  0.069  0.206  -0.05

Results
total energy = -4.75 eV/atom
SG = C2/m, No. 12
energy relative to the elements, uncorrected = -0.891 eV/atom

***

# 7
Below is a geometry-optimized Y3Rh structure, with properties calculated at the PBE level.

a b c (Å): 5.959 5.959 5.959
angles (deg): 116.52 116.52 116.52
Atoms (fractional coordinates):
Rh  0.000  0.000  0.000
Y  0.500  0.500  0.000
Y  0.000  0.500  0.500
Y  0.500  0.000  0.500

Results
total energy = -6.69 eV/atom
SG = R-3m, No. 166
energy relative to the elements = -1 kJ/mol of formula units

***

# 8
Below is a geometry-optimized Rb2HgBiO4 structure, with properties calculated at the PBE level.

a b c (Å): 6.217 6.217 6.217
angles (deg): 96.18 116.50 116.50
Site moments in Bohr magnetons follow the coordinates.
Atoms (fractional coordinates):
O  0.613  0.411  0.475  0.06
Rb  0.500  0.750  0.250  0.00
Bi  0.000  0.500  0.500  0.02
O  0.936  0.525  0.138  0.06
O  0.064  0.202  0.589  0.06
O  0.387  0.862  0.798  0.06
Hg  0.500  0.250  0.750  0.01
Rb  0.000  0.000  0.000  0.00

Results
total energy = -4.23 eV/atom
SG = I-4, No. 82
energy relative to the elements, uncorrected = -0.983 eV/atom

***

# 9
Below is a geometry-optimized CsLa2HfZr structure, with properties calculated at the PBE level.

a b c (Å): 6.098 5.411 6.098
angles (deg): 90.00 90.00 90.00
Atoms (fractional coordinates):
Zr  0.000  0.500  0.000
La  0.000  0.000  0.500
Hf  0.000  0.000  0.000
La  0.500  0.000  0.000
Cs  0.500  0.500  0.500

Results
total energy = -5.06 eV/atom
SG = P4/mmm, No. 123
energy relative to the elements = 378 kJ/mol of formula units

***

# 10
Below is a geometry-optimized AgRuPt2 structure, with properties calculated at the PBE level.

a b c (Å): 4.840 4.840 4.953
angles (deg): 80.83 80.83 33.23
Site moments in Bohr magnetons follow the coordinates.
Atoms (fractional coordinates):
Ru  0.750  0.750  0.750  0.78
Ag  0.250  0.250  0.250  0.04
Pt  0.007  0.007  0.989  0.10
Pt  0.493  0.493  0.511  0.10

Results
total energy = -5.86 eV/atom
SG = C2/m, No. 12
energy relative to the lowest polymorph listed for this composition = 168 meV per atom
energy relative to the elements = 76 kJ/mol of formula units

***

# 11
Below is a geometry-optimized KInFe2I6 structure, with properties calculated at the PBE level.

a b c (Å): 10.526 10.526 8.209
angles (deg): 101.71 101.71 84.11
Site moments in Bohr magnetons follow the coordinates.
Atoms (fractional coordinates):
I  0.529  0.713  0.167  0.09
I  0.097  0.181  0.508  0.10
Fe  0.878  0.708  0.750  3.28
I  0.819  0.903  0.992  0.10
I  0.903  0.819  0.492  0.10
K  0.822  0.178  0.750  0.00
I  0.605  0.106  0.359  0.10
Fe  0.292  0.122  0.750  3.28
Fe  0.708  0.878  0.250  3.28
Fe  0.122  0.292  0.250  3.28
I  0.106  0.605  0.859  0.10
K  0.178  0.822  0.250  0.00
In  0.600  0.400  0.250  0.04
I  0.287  0.471  0.333  0.09
I  0.713  0.529  0.667  0.09
I  0.471  0.287  0.833  0.09
I  0.181  0.097  0.008  0.10
I  0.894  0.395  0.141  0.10
In  0.400  0.600  0.750  0.04
I  0.395  0.894  0.641  0.10

Results
total energy = -3.43 eV/atom
SG = C2/c, No. 15
energy relative to the elements, uncorrected = -0.426 eV/atom

***

# 12
Below is a geometry-optimized Cs2SnTeBr6 structure, with properties calculated at the PBE level.

a b c (Å): 8.019 8.019 8.828
angles (deg): 62.99 62.99 90.00
Atoms (fractional coordinates):
Cs  0.750  0.250  0.500
Br  0.755  0.755  0.000
Br  0.287  0.287  0.425
Br  0.245  0.755  0.000
Sn  0.500  0.500  0.000
Cs  0.250  0.750  0.500
Br  0.713  0.713  0.575
Br  0.245  0.245  0.000
Te  0.000  0.000  0.000
Br  0.755  0.245  0.000

Results
total energy = -2.89 eV/atom
SG = I4/mmm, No. 139
energy relative to the elements, uncorrected = -0.997 eV/atom

***

# 13
Below is a geometry-optimized AgTe2Br structure, with properties calculated at the PBE level.

a b c (Å): 8.684 8.684 8.684
angles (deg): 27.03 27.03 27.03
Atoms (fractional coordinates):
Ag  0.502  0.502  0.502
Br  0.775  0.775  0.775
Te  0.239  0.239  0.239
Te  0.983  0.983  0.983

Results
total energy = -2.74 eV/atom
SG = R3m, No. 160
energy relative to the elements, uncorrected = -0.035 eV/atom

***

# 14
Below is a geometry-optimized TlRhF6 structure, with properties calculated at the PBE level.

a b c (Å): 5.069 5.069 5.069
angles (deg): 98.38 98.38 98.38
Site moments in Bohr magnetons follow the coordinates.
Atoms (fractional coordinates):
F  0.770  0.770  0.425  0.11
F  0.575  0.230  0.230  0.11
F  0.230  0.230  0.575  0.11
F  0.230  0.575  0.230  0.11
F  0.425  0.770  0.770  0.11
Tl  0.000  0.000  0.000  0.07
Rh  0.500  0.500  0.500  1.04
F  0.770  0.425  0.770  0.11

Results
total energy = -4.20 eV/atom
SG = R-3m, No. 166
energy relative to the elements, uncorrected = -1.586 eV/atom

***

# 15
Below is a geometry-optimized Dy2Y3Er2 structure, with properties calculated at the PBE level.

a b c (Å): 3.538 11.219 6.140
angles (deg): 100.58 73.21 108.25
Atoms (fractional coordinates):
Dy  0.142  0.857  0.430
Y  0.430  0.572  0.284
Y  0.000  0.000  0.000
Y  0.570  0.428  0.716
Er  0.286  0.714  0.855
Er  0.714  0.286  0.145
Dy  0.858  0.143  0.570

Results
total energy = -5.36 eV/atom
SG = P-1, No. 2
energy relative to the lowest polymorph listed for this composition = 0 meV per atom
energy relative to the elements = 16 kJ/mol of formula units

***

# 16
Below is a geometry-optimized Er4BiSe2S structure, with properties calculated at the PBE level.

a b c (Å): 4.091 7.072 7.194
angles (deg): 70.81 90.00 90.00
Atoms (fractional coordinates):
Bi  0.000  0.500  0.500
Se  0.000  0.000  0.000
S  0.500  0.500  0.000
Er  0.500  0.759  0.221
Er  0.500  0.241  0.779
Er  0.000  0.259  0.224
Se  0.500  0.000  0.500
Er  0.000  0.741  0.776

Results
total energy = -5.64 eV/atom
SG = P2/m, No. 10
energy relative to the elements, uncorrected = -1.486 eV/atom

***

# 17
Below is a geometry-optimized LiCaBi structure, with properties calculated at the PBE level.

a b c (Å): 4.695 7.739 13.266
angles (deg): 89.99 90.00 90.00
Atoms (fractional coordinates):
Ca  0.750  0.664  0.079
Bi  0.250  0.765  0.907
Li  0.750  0.651  0.793
Li  0.250  0.999  0.090
Bi  0.750  0.766  0.572
Li  0.250  0.349  0.207
Bi  0.750  0.235  0.093
Ca  0.250  0.336  0.921
Li  0.750  0.148  0.543
Bi  0.750  0.270  0.753
Li  0.250  0.852  0.457
Ca  0.250  0.484  0.628
Ca  0.750  0.516  0.372
Bi  0.250  0.730  0.247
Li  0.750  0.001  0.910
Ca  0.250  0.986  0.696
Ca  0.750  0.014  0.304
Bi  0.250  0.234  0.428

Results
total energy = -3.40 eV/atom
SG = P2_1/m, No. 11
energy relative to the elements = -231 kJ/mol of formula units

***

# 18
Below is a geometry-optimized K2Na2ThTe4 structure, with properties calculated at the PBE level.

a b c (Å): 4.740 8.959 9.272
angles (deg): 114.98 104.81 90.00
Atoms (fractional coordinates):
Na  0.323  0.034  0.645
K  0.852  0.456  0.704
Na  0.677  0.966  0.355
Te  0.506  0.244  0.013
Te  0.803  0.808  0.606
K  0.148  0.544  0.296
Te  0.494  0.756  0.987
Th  0.000  0.000  0.000
Te  0.197  0.192  0.394

Results
total energy = -3.84 eV/atom
SG = C2/m, No. 12
energy relative to the elements, uncorrected = -1.086 eV/atom

***

# 19
Below is a geometry-optimized KPPbSe4 structure, with properties calculated at the PBE level.

a b c (Å): 7.055 6.982 9.178
angles (deg): 90.00 107.40 90.00
Atoms (fractional coordinates):
Se  0.000  0.498  0.267
Se  0.383  0.750  0.559
Se  0.000  0.998  0.733
Se  0.617  0.250  0.441
Se  0.000  0.502  0.733
P  0.797  0.250  0.687
Pb  0.246  0.250  0.551
P  0.203  0.750  0.313
Pb  0.754  0.750  0.449
K  0.253  0.250  0.063
Se  0.000  0.002  0.267
K  0.747  0.750  0.937
Se  0.392  0.750  0.158
Se  0.608  0.250  0.842

Results
total energy = -4.00 eV/atom
SG = P2_1/m, No. 11
energy relative to the elements, uncorrected = -0.550 eV/atom

***

# 20
Below is a geometry-optimized Mg2Ge2Pd3 structure, with properties calculated at the PBE level.

a b c (Å): 4.385 4.455 7.546
angles (deg): 89.98 107.44 120.49
Atoms (fractional coordinates):
Pd  0.528  0.263  0.784
Pd  0.000  0.000  0.000
Ge  0.224  0.612  0.822
Ge  0.776  0.388  0.178
Mg  0.742  0.871  0.611
Mg  0.258  0.129  0.389
Pd  0.472  0.737  0.216

Results
total energy = -4.50 eV/atom
SG = C2/m, No. 12
energy relative to the lowest polymorph listed for this composition = 46 meV per atom
energy relative to the elements = -340 kJ/mol of formula units